Pa3Tl4CoO12 | Alexandria via LeMat-Bulk | PBE with a Hubbard U | optimized geometry; DFT total energy = -7.21 eV/atom; N(E_F) = 8.18 states/eV/cell; crystal system = cubic
1.0
7.452 0.000 0.000
-2.484 7.026 0.000
-2.484 -3.513 6.084
O Pa Tl Co
12 3 4 1
direct
0.250 0.500 0.750 O
0.750 0.500 0.250 O
0.750 0.250 0.500 O
0.759 0.000 0.759 O
0.250 0.750 0.500 O
0.241 0.241 0.000 O
0.500 0.250 0.750 O
0.500 0.750 0.250 O
0.759 0.759 0.000 O
0.000 0.241 0.241 O
0.241 0.000 0.241 O
0.000 0.759 0.759 O
0.000 0.500 0.500 Pa
0.500 0.500 0.000 Pa
0.500 0.000 0.500 Pa
0.500 0.000 0.000 Tl
0.500 0.500 0.500 Tl
0.000 0.000 0.500 Tl
0.000 0.500 0.000 Tl
0.000 0.000 0.000 Co